CaZr2Pb after structural relaxation, computed with PBE.

As for the space group: P2/m, No. 10. The value obtained for the calculated formation energy is 40.2 meV per atom.

a = 5.628 Å, b = 3.275 Å, c = 5.665 Å
α = 84.93°, β = 90.00°, γ = 90.00°
Positions (direct):
Zr 0.000 0.943 0.985
Zr 0.000 0.557 0.515
Pb 0.500 0.750 0.750
Ca 0.500 0.250 0.250



KSr2Ca after structural relaxation, computed with PBE.

The energy above the most stable polymorph in this dataset is 51.0 meV per atom. As for the space group: Immm, No. 71. The value obtained for the calculated formation energy is 116.2 meV per atom.

a = 8.002 Å, b = 8.002 Å, c = 8.002 Å
α = 146.82°, β = 128.72°, γ = 62.45°
Positions (direct):
K 0.250 0.750 0.500
Sr 0.504 0.504 0.000
Sr 0.996 0.996 0.000
Ca 0.750 0.250 0.500



Pr2ErSb4 after structural relaxation, computed with PBE.

As for the space group: P-4m2, No. 115. The final energy comes out at -5.2324 eV/atom.

a = 4.361 Å, b = 4.361 Å, c = 11.793 Å
α = 90.00°, β = 90.00°, γ = 90.00°
Positions (direct):
Sb 0.000 0.500 0.824
Sb 0.500 0.500 0.500
Sb 0.000 0.000 0.500
Sb 0.500 0.000 0.176
Pr 0.500 0.000 0.712
Pr 0.000 0.500 0.288
Er 0.500 0.500 0.000



TeI2NF after structural relaxation, computed with PBE.

The energy above the most stable polymorph in this dataset is 273.7 meV per atom. As for the space group: P4/mmm, No. 123.

a = 5.943 Å, b = 5.943 Å, c = 4.251 Å
α = 90.00°, β = 90.00°, γ = 90.00°
Last column: magnetic moment on the atom in μB.
Positions (direct):
I 0.000 0.500 0.000  0.07
I 0.500 0.000 0.000  0.07
F 0.000 0.000 0.000  0.00
Te 0.000 0.000 0.500  0.02
N 0.500 0.500 0.500  1.88



Number 1: calculated volume 104 Å³ per cell. Number 2: calculated volume 217 Å³ per cell. Number 3: calculated volume 224 Å³ per cell. Number 4: calculated volume 150 Å³ per cell.